# Re2C3N6

A relaxed structure of Re2C3N6 (PBE, Alexandria).

Structure (extended XYZ):
```
11
Lattice="8.441 -1.451 0.000 8.441 1.451 0.000 -0.240 0.000 5.579" Properties=species:S:1:pos:R:3 pbc="T T T"
Re 2.984 0.000 2.312
Re 13.657 0.000 3.268
C -0.120 0.000 2.790
C 5.418 0.000 0.432
C 11.223 0.000 5.147
N 1.083 0.000 2.599
N 5.057 0.000 1.632
N 5.416 0.000 4.806
N 11.225 0.000 0.773
N 11.584 0.000 3.948
N 15.558 0.000 2.981
```

Results
**Crystal system**: monoclinic
**Offset from the most stable computed form**: 0.0389 eV per atom
**Magnetic moment**: 0.00 μB/cell
**Formation energy (no corrections)**: 0.3630 eV per atom



# CoCuCl

A relaxed structure of CoCuCl (PBE, Alexandria).

Structure (extended XYZ):
```
12
Lattice="3.034 0.000 0.000 0.000 5.209 0.000 0.000 0.000 11.537" Properties=species:S:1:pos:R:3 pbc="T T T"
Co 0.000 0.000 0.000
Co 0.000 2.604 5.769
Co 1.517 0.000 5.769
Co 1.517 2.604 0.000
Cu 0.000 0.000 3.887
Cu 0.000 2.604 9.656
Cu 1.517 0.000 9.656
Cu 1.517 2.604 3.887
Cl 0.000 0.000 7.565
Cl 0.000 2.604 1.797
Cl 1.517 0.000 1.797
Cl 1.517 2.604 7.565
```

Results
**Crystal system**: orthorhombic
**Offset from the most stable computed form**: 0.1259 eV per atom
**Magnetic moment**: 8.19 μB/cell
**Formation energy (no corrections)**: 0.3793 eV per atom



# Ta2Ga2Mo

A relaxed structure of Ta2Ga2Mo (PBE, Alexandria).

Structure (extended XYZ):
```
10
Lattice="6.769 0.000 0.000 0.000 6.769 0.000 0.000 0.000 3.554" Properties=species:S:1:pos:R:3 pbc="T T T"
Ta 1.176 2.209 0.000
Ta 2.209 5.593 0.000
Ta 4.560 1.176 0.000
Ta 5.593 4.560 0.000
Ga 0.872 4.256 1.777
Ga 2.513 0.872 1.777
Ga 4.256 5.897 1.777
Ga 5.897 2.513 1.777
Mo 0.000 0.000 1.777
Mo 3.385 3.385 1.777
```

Results
**Crystal system**: tetragonal
**Magnetic moment**: 0.00 μB/cell
**Final energy**: -8.321 eV per atom



# ErTmBiAs

A relaxed structure of ErTmBiAs (PBE, Alexandria).

Structure (extended XYZ):
```
12
Lattice="4.176 0.000 0.000 -2.088 3.617 0.000 0.000 0.000 21.855" Properties=species:S:1:pos:R:3 pbc="T T T"
Er 0.000 0.000 0.000
Er 0.000 2.411 14.570
Er 2.088 1.206 7.285
Tm 0.000 0.000 17.785
Tm 0.000 2.411 10.500
Tm 2.088 1.206 3.215
Bi 0.000 0.000 5.229
Bi 0.000 2.411 19.800
Bi 2.088 1.206 12.514
As 0.000 0.000 8.951
As 0.000 2.411 1.666
As 2.088 1.206 16.236
```

Results
**Crystal system**: trigonal
**Magnetic moment**: 0.00 μB/cell
**Final energy**: -5.433 eV per atom



# BaSm5Tl6

A relaxed structure of BaSm5Tl6 (PBE, Alexandria).

Structure (extended XYZ):
```
12
Lattice="8.813 -3.883 0.000 8.813 3.883 0.000 -1.723 0.000 5.315" Properties=species:S:1:pos:R:3 pbc="T T T"
Ba 0.000 0.000 0.000
Sm 1.664 0.000 3.500
Sm 5.248 0.000 1.752
Sm 8.813 0.000 0.000
Sm 10.655 0.000 3.563
Sm 14.240 0.000 1.815
Tl 4.338 1.858 4.396
Tl 7.952 1.747 2.658
Tl 11.565 1.858 0.919
Tl 4.338 -1.858 4.396
Tl 7.952 -1.747 2.658
Tl 11.565 -1.858 0.919
```

Results
**Crystal system**: monoclinic
**Magnetic moment**: 0.00 μB/cell
**Final energy**: -3.651 eV per atom



# La3SmN

A relaxed structure of La3SmN (PBE, Alexandria).

Structure (extended XYZ):
```
5
Lattice="5.223 0.000 0.000 0.000 5.223 0.000 0.000 0.000 5.223" Properties=species:S:1:pos:R:3 pbc="T T T"
La 0.000 0.000 2.612
La 0.000 2.612 0.000
La 2.612 0.000 0.000
Sm 2.612 2.612 2.612
N 0.000 0.000 0.000
```

Results
**Crystal system**: cubic
**Magnetic moment**: 0.00 μB/cell
**Formation energy (no corrections)**: -0.4876 eV per atom



Please write out number 3 again, unchanged.
# Ta2Ga2Mo

A relaxed structure of Ta2Ga2Mo (PBE, Alexandria).

Structure (extended XYZ):
```
10
Lattice="6.769 0.000 0.000 0.000 6.769 0.000 0.000 0.000 3.554" Properties=species:S:1:pos:R:3 pbc="T T T"
Ta 1.176 2.209 0.000
Ta 2.209 5.593 0.000
Ta 4.560 1.176 0.000
Ta 5.593 4.560 0.000
Ga 0.872 4.256 1.777
Ga 2.513 0.872 1.777
Ga 4.256 5.897 1.777
Ga 5.897 2.513 1.777
Mo 0.000 0.000 1.777
Mo 3.385 3.385 1.777
```

Results
**Crystal system**: tetragonal
**Magnetic moment**: 0.00 μB/cell
**Final energy**: -8.321 eV per atom



Which of these has the highest magnetic moment? CoCuCl



Repeat the fifth record exactly.
# BaSm5Tl6

A relaxed structure of BaSm5Tl6 (PBE, Alexandria).

Structure (extended XYZ):
```
12
Lattice="8.813 -3.883 0.000 8.813 3.883 0.000 -1.723 0.000 5.315" Properties=species:S:1:pos:R:3 pbc="T T T"
Ba 0.000 0.000 0.000
Sm 1.664 0.000 3.500
Sm 5.248 0.000 1.752
Sm 8.813 0.000 0.000
Sm 10.655 0.000 3.563
Sm 14.240 0.000 1.815
Tl 4.338 1.858 4.396
Tl 7.952 1.747 2.658
Tl 11.565 1.858 0.919
Tl 4.338 -1.858 4.396
Tl 7.952 -1.747 2.658
Tl 11.565 -1.858 0.919
```

Results
**Crystal system**: monoclinic
**Magnetic moment**: 0.00 μB/cell
**Final energy**: -3.651 eV per atom